Computed, not measured: a relaxed Nd3YTh2Bi6 crystal at the PBE-GGA level of DFT. Values from VASP.

```
&SYSTEM
  ibrav = 0, nat = 12, ntyp = 4
/
ATOMIC_SPECIES
Nd 144.24 Nd.upf
Y 88.91 Y.upf
Th 232.04 Th.upf
Bi 208.98 Bi.upf
ATOMIC_POSITIONS angstrom
Nd 0.000 0.000 0.000
Nd 5.244 0.000 5.940
Nd 12.630 0.000 2.978
Y -1.064 0.000 4.459
Th 6.345 0.000 1.510
Th 11.530 0.000 7.408
Bi 2.050 0.000 5.190
Bi 3.172 0.000 0.738
Bi 8.405 0.000 6.637
Bi 9.469 0.000 2.281
Bi 14.702 0.000 8.180
Bi 15.824 0.000 3.728
CELL_PARAMETERS angstrom
10.001 -2.295 0.000
10.001 2.295 0.000
-2.127 0.000 8.918
```

Results
* calculated formation energy: -9.87 eV per formula unit
* volume: 34.1 A^3/atom
* ρ: 9.1 g cm⁻³
* N(E_F): 0.4260 states/eV/atom
* total energy: -5.73 eV per atom

---

Computed, not measured: a relaxed NdTiBi3 crystal at the PBE-GGA level of DFT. Values from VASP.

```
&SYSTEM
  ibrav = 0, nat = 20, ntyp = 3
/
ATOMIC_SPECIES
Nd 144.24 Nd.upf
Ti 47.87 Ti.upf
Bi 208.98 Bi.upf
ATOMIC_POSITIONS angstrom
Nd 2.543 0.057 1.595
Nd 2.543 3.250 4.786
Nd 11.006 3.363 1.595
Nd 11.006 6.557 4.786
Ti 5.506 4.960 0.000
Ti 5.506 4.960 3.191
Ti 8.043 1.653 0.000
Ti 8.043 1.653 3.191
Bi 0.039 4.960 0.000
Bi 0.039 4.960 3.191
Bi 3.640 3.368 1.595
Bi 3.640 6.552 4.786
Bi 5.832 0.699 1.595
Bi 5.832 2.608 4.786
Bi 7.717 4.005 1.595
Bi 7.717 5.915 4.786
Bi 9.910 0.061 1.595
Bi 9.910 3.246 4.786
Bi 13.510 1.653 0.000
Bi 13.510 1.653 3.191
CELL_PARAMETERS angstrom
13.549 0.000 0.000
0.000 6.613 0.000
0.000 0.000 6.381
```

Results
* calculated formation energy: -2.38 eV per formula unit
* volume: 28.6 A^3/atom
* ρ: 9.5 g cm⁻³
* N(E_F): 0.5786 states/eV/atom
* total energy: -5.34 eV per atom

---

Computed, not measured: a relaxed NdTl2Bi crystal at the PBE-GGA level of DFT. Values from VASP.

```
&SYSTEM
  ibrav = 0, nat = 4, ntyp = 3
/
ATOMIC_SPECIES
Nd 144.24 Nd.upf
Tl 204.38 Tl.upf
Bi 208.98 Bi.upf
ATOMIC_POSITIONS angstrom
Nd 0.000 0.000 0.000
Tl 0.000 0.000 3.261
Tl 0.000 0.000 33.173
Bi 0.000 0.000 18.217
CELL_PARAMETERS angstrom
1.782 1.029 12.144
-1.782 1.029 12.144
0.000 -2.057 12.144
```

Results
* calculated formation energy: 0.33 eV per formula unit
* volume: 33.4 A^3/atom
* ρ: 9.5 g cm⁻³
* N(E_F): 0.9127 states/eV/atom
* total energy: -3.26 eV per atom

---

Computed, not measured: a relaxed NdTlBi crystal at the PBE-GGA level of DFT. Values from VASP.

```
&SYSTEM
  ibrav = 0, nat = 3, ntyp = 3
/
ATOMIC_SPECIES
Nd 144.24 Nd.upf
Tl 204.38 Tl.upf
Bi 208.98 Bi.upf
ATOMIC_POSITIONS angstrom
Nd 0.000 0.000 0.000
Tl 0.000 3.072 2.466
Bi 2.661 1.536 1.601
CELL_PARAMETERS angstrom
5.321 0.000 0.000
-2.661 4.608 0.000
0.000 0.000 3.846
```

Results
* calculated formation energy: -0.98 eV per formula unit
* volume: 31.4 A^3/atom
* ρ: 9.8 g cm⁻³
* N(E_F): 0.6304 states/eV/atom
* total energy: -4.00 eV per atom

---

Computed, not measured: a relaxed Nd10Tl3Bi3 crystal at the PBE-GGA level of DFT. Values from VASP.

```
&SYSTEM
  ibrav = 0, nat = 16, ntyp = 3
/
ATOMIC_SPECIES
Nd 144.24 Nd.upf
Tl 204.38 Tl.upf
Bi 208.98 Bi.upf
ATOMIC_POSITIONS angstrom
Nd -1.126 1.951 0.000
Nd -3.585 6.210 3.416
Nd 1.119 1.938 3.416
Nd 2.253 0.000 0.000
Nd 0.000 5.432 1.720
Nd 0.000 5.432 5.111
Nd 4.704 2.716 1.720
Nd 4.704 2.716 5.111
Nd 3.578 6.197 0.000
Nd 7.170 0.000 3.416
Tl -1.860 3.221 3.416
Tl 3.719 0.000 3.416
Tl 2.844 4.927 3.416
Bi -2.858 4.951 0.000
Bi 1.846 3.197 0.000
Bi 5.717 0.000 0.000
CELL_PARAMETERS angstrom
9.408 0.000 0.000
-4.704 8.148 0.000
0.000 0.000 6.832
```

Results
* calculated formation energy: -8.56 eV per formula unit
* volume: 32.7 A^3/atom
* ρ: 8.5 g cm⁻³
* N(E_F): 1.1997 states/eV/atom
* total energy: -4.69 eV per atom

---

Computed, not measured: a relaxed Nd2TlBi4 crystal at the PBE-GGA level of DFT. Values from VASP.

```
&SYSTEM
  ibrav = 0, nat = 7, ntyp = 3
/
ATOMIC_SPECIES
Nd 144.24 Nd.upf
Tl 204.38 Tl.upf
Bi 208.98 Bi.upf
ATOMIC_POSITIONS angstrom
Nd 2.318 2.515 0.000
Nd 2.318 -2.515 0.000
Tl -2.312 0.000 2.504
Bi 0.000 0.000 0.000
Bi 0.006 2.515 2.504
Bi 0.006 -2.515 2.504
Bi 4.637 0.000 0.000
CELL_PARAMETERS angstrom
4.637 -5.030 0.000
4.637 5.030 0.000
-4.624 0.000 5.008
```

Results
* calculated formation energy: -3.13 eV per formula unit
* volume: 33.4 A^3/atom
* ρ: 9.4 g cm⁻³
* N(E_F): 0.6033 states/eV/atom
* total energy: -4.37 eV per atom

---

N(E_F) of number 4 (NdTlBi)?
0.6304 states/eV/atom